A geometry-optimized YBePt structure. Source: the Alexandria database, functional PBE.

The structure in extended XYZ format:
```
3
Lattice="-0.971 -0.411 4.445 -3.613 -2.458 1.331 0.614 -4.004 2.111" Properties=species:S:1:pos:R:3 pbc="T T T"
Y -2.978 -5.155 5.914
Pt -1.985 -3.437 3.943
Be 0.000 0.000 0.000
```

**Energy relative to the lowest polymorph listed for this composition**: 1027.8 meV/atom
**M_tot**: 0.0 Bohr magnetons per cell
**E_tot**: -5.243 eV/atom
**Energy of formation**: 0.167 eV per atom
**N(E_F)**: 2.637 states/eV per cell